Crystalline NaHfF5 at its relaxed geometry, computed with GGA-PBE.

Geometry as extended XYZ:
```
28
Lattice="5.794 -0.218 0.000 -3.007 7.924 0.000 0.000 0.000 10.643" Properties=species:S:1:pos:R:3 pbc="T T T"
F 5.162 1.068 1.409
F -2.375 6.638 9.234
F -0.179 1.039 7.668
F 3.675 4.521 1.314
F 1.215 4.892 8.297
F 1.043 5.388 1.152
F -0.888 3.185 9.329
F 3.392 4.092 4.083
F 1.572 2.815 2.346
F 2.965 6.668 2.976
F 2.281 0.668 4.008
F 0.788 7.467 9.405
F -0.350 1.535 4.170
F -0.605 3.614 6.560
F 2.025 2.567 6.731
F 3.137 6.171 6.473
F 0.762 5.139 3.912
F 1.744 2.318 9.492
F 1.999 0.239 1.238
F 0.506 7.038 6.636
Na -0.848 5.641 5.384
Na -0.765 6.136 0.063
Na 3.635 2.065 5.259
Na 3.552 1.570 10.581
Hf 0.805 0.912 2.705
Hf 2.199 4.765 2.617
Hf 0.588 2.942 8.027
Hf 1.982 6.795 7.938
```

Output
- size of the total moment (μB per formula unit) = 0.00
- space-group type = P2_1/c
- ΔE_f (raw) (eV per atom) = -3.5561
- energy (eV per atom) = -6.503

Crystalline Te3P at its relaxed geometry, computed with GGA-PBE.

Geometry as extended XYZ:
```
4
Lattice="1.926 -3.336 0.000 1.926 3.336 0.000 0.000 0.000 8.377" Properties=species:S:1:pos:R:3 pbc="T T T"
Te 0.000 0.000 4.189
Te 1.926 -1.112 6.532
Te 1.926 -1.112 1.845
P 0.000 0.000 0.000
```

Output
- size of the total moment (μB per formula unit) = 0.00
- space-group type = P-6m2
- ΔE_f (raw) (eV per atom) = 0.3415
- offset from the most stable computed form (eV per formula unit) = 0.613
- energy (eV per atom) = -3.367